A relaxed structure of RuI3Br. Source: Alexandria, functional GGA-PBE.

Unit cell a=5.903 b=5.903 c=5.903 alpha=90.00 beta=90.00 gamma=90.00
Positions (direct):
Ru1 0.000 0.000 0.000
I1 0.000 0.500 0.500
I2 0.500 0.000 0.500
I3 0.500 0.500 0.000
Br1 0.500 0.500 0.500

Computed properties:
Distance to the lowest polymorph of the same formula ... 6.481 eV per formula unit
Raw formation energy ... 1248.6 meV/atom
Symmetry ... Pm-3m
DFT total energy ... -1.87 eV/atom

---

A relaxed structure of RuI3Br. Source: Alexandria, functional GGA-PBE.

Unit cell a=6.004 b=7.949 c=6.971 alpha=90.00 beta=92.80 gamma=90.00
Positions (direct):
Ru1 0.020 0.250 0.017
Ru2 0.980 0.750 0.983
I1 0.225 0.000 0.835
I2 0.225 0.500 0.835
I3 0.299 0.250 0.311
I4 0.701 0.750 0.689
I5 0.775 0.000 0.165
I6 0.775 0.500 0.165
Br1 0.264 0.750 0.274
Br2 0.736 0.250 0.726

Computed properties:
Distance to the lowest polymorph of the same formula ... 0.000 eV per formula unit
Raw formation energy ... -47.7 meV/atom
Symmetry ... P2_1/m
DFT total energy ... -3.17 eV/atom